The following is a DFT calculation (GGA+U) of crystalline NaBe2NiF8 at its relaxed geometry.

extended XYZ file:
```
12
Lattice="4.723 -0.228 -0.063 1.976 4.295 -0.063 0.215 0.131 6.997" Properties=species:S:1:pos:R:3 pbc="T T T"
F 2.866 3.276 1.327
F 4.228 1.032 1.327
F 2.686 3.166 5.543
F 5.126 3.112 0.208
F 4.906 2.979 2.812
F 1.789 1.086 6.663
F 2.009 1.220 4.059
F 4.049 0.923 5.543
Be 2.593 1.574 5.366
Be 4.322 2.624 1.505
Na 0.108 0.065 3.499
Ni 0.000 0.000 0.000
```

Crystal system: monoclinic
Electronic total energy, eV per atom: -4.830